Entry one
{
  "formula": "Mg3Ge3Pd2",
  "functional": "PBE",
  "state": "optimized geometry",
  "lattice": [[6.6690, 0.0000, 0.0000], [0.0000, 16.5869, 0.0000], [0.0000, 0.0000, 5.2859]],
  "species": ["Mg", "Mg", "Mg", "Mg", "Mg", "Mg", "Mg", "Mg", "Mg", "Mg", "Mg", "Mg", "Ge", "Ge", "Ge", "Ge", "Ge", "Ge", "Ge", "Ge", "Ge", "Ge", "Ge", "Ge", "Pd", "Pd", "Pd", "Pd", "Pd", "Pd", "Pd", "Pd"],
  "fractional_positions": [[0.0116, 0.1196, 0.1064], [0.0116, 0.3804, 0.1064], [0.1732, 0.2500, 0.6539], [0.3268, 0.7500, 0.1539], [0.4884, 0.6196, 0.6064], [0.4884, 0.8804, 0.6064], [0.5116, 0.1196, 0.3936], [0.5116, 0.3804, 0.3936], [0.6732, 0.2500, 0.8461], [0.8268, 0.7500, 0.3461], [0.9884, 0.6196, 0.8936], [0.9884, 0.8804, 0.8936], [0.1782, 0.7500, 0.6611], [0.1862, 0.0231, 0.6163], [0.1862, 0.4769, 0.6163], [0.3138, 0.5231, 0.1163], [0.3138, 0.9769, 0.1163], [0.3218, 0.2500, 0.1611], [0.6782, 0.7500, 0.8389], [0.6862, 0.0231, 0.8837], [0.6862, 0.4769, 0.8837], [0.8138, 0.5231, 0.3837], [0.8138, 0.9769, 0.3837], [0.8218, 0.2500, 0.3389], [0.1154, 0.6217, 0.4021], [0.1154, 0.8783, 0.4021], [0.3846, 0.1217, 0.9021], [0.3846, 0.3783, 0.9021], [0.6154, 0.6217, 0.0979], [0.6154, 0.8783, 0.0979], [0.8846, 0.1217, 0.5979], [0.8846, 0.3783, 0.5979]],
  "magmom_total_mub_per_cell": 0.000,
  "n_ef_per_ev_fu": 2.2
}

---

Entry two
{
  "formula": "Mg3Ge3Pd2",
  "functional": "PBE",
  "state": "optimized geometry",
  "lattice": [[2.1248, -4.9362, 0.0000], [2.1248, 4.9362, 0.0000], [0.0000, 0.0000, 13.8658]],
  "species": ["Mg", "Mg", "Mg", "Mg", "Mg", "Mg", "Ge", "Ge", "Ge", "Ge", "Ge", "Ge", "Pd", "Pd", "Pd", "Pd"],
  "fractional_positions": [[0.0772, 0.9228, 0.6178], [0.0772, 0.9228, 0.8822], [0.3508, 0.6492, 0.7500], [0.6492, 0.3508, 0.2500], [0.9228, 0.0772, 0.1178], [0.9228, 0.0772, 0.3822], [0.3668, 0.6332, 0.2500], [0.3820, 0.6180, 0.5367], [0.3820, 0.6180, 0.9633], [0.6180, 0.3820, 0.0367], [0.6180, 0.3820, 0.4633], [0.6332, 0.3668, 0.7500], [0.2100, 0.7900, 0.1059], [0.2100, 0.7900, 0.3941], [0.7900, 0.2100, 0.6059], [0.7900, 0.2100, 0.8941]],
  "magmom_total_mub_per_cell": 0.000,
  "n_ef_per_ev_fu": 2.9
}

---

Energies relative to the most stable structure are entry one 0.032; entry two 0.000, reported in eV/atom.

---

Entry one
{
  "formula": "Mg3Ge2Pd4",
  "functional": "PBE",
  "state": "optimized geometry",
  "lattice": [[3.8428, -2.3230, 0.0000], [3.8428, 2.3230, 0.0000], [-1.5911, 0.0000, 8.3848]],
  "species": ["Mg", "Mg", "Mg", "Ge", "Ge", "Pd", "Pd", "Pd", "Pd"],
  "fractional_positions": [[0.0000, 0.0000, 0.0000], [0.3646, 0.3646, 0.2220], [0.6354, 0.6354, 0.7780], [0.2760, 0.2760, 0.5929], [0.7240, 0.7240, 0.4071], [0.0410, 0.0410, 0.3350], [0.3164, 0.3164, 0.8929], [0.6836, 0.6836, 0.1071], [0.9590, 0.9590, 0.6650]],
  "magmom_total_mub_per_cell": 0.000,
  "n_ef_per_ev_fu": 3.7
}

---

Entry two
{
  "formula": "Mg3Ge2Pd4",
  "functional": "PBE",
  "state": "optimized geometry",
  "lattice": [[6.4117, -4.8799, 0.0000], [6.4117, 4.8799, 0.0000], [-0.8043, 0.0000, 4.7528]],
  "species": ["Mg", "Mg", "Mg", "Mg", "Mg", "Mg", "Ge", "Ge", "Ge", "Ge", "Pd", "Pd", "Pd", "Pd", "Pd", "Pd", "Pd", "Pd"],
  "fractional_positions": [[0.1338, 0.8662, 0.7500], [0.2108, 0.4852, 0.9295], [0.4852, 0.2108, 0.4295], [0.5148, 0.7892, 0.5705], [0.7892, 0.5148, 0.0705], [0.8662, 0.1338, 0.2500], [0.1089, 0.3372, 0.3665], [0.3372, 0.1089, 0.8665], [0.6628, 0.8911, 0.1335], [0.8911, 0.6628, 0.6335], [0.0082, 0.2292, 0.8046], [0.2292, 0.0082, 0.3046], [0.3113, 0.5530, 0.4641], [0.4470, 0.6887, 0.0359], [0.5530, 0.3113, 0.9641], [0.6887, 0.4470, 0.5359], [0.7708, 0.9918, 0.6954], [0.9918, 0.7708, 0.1954]],
  "magmom_total_mub_per_cell": 0.000,
  "n_ef_per_ev_fu": 3.0
}

---

Energies relative to the most stable structure are entry one 0.000; entry two 0.082, reported in eV/atom.

---

Entry one
{
  "formula": "Mg3GePd4",
  "functional": "PBE",
  "state": "optimized geometry",
  "lattice": [[0.0000, 3.1144, 6.5501], [3.1005, 0.0000, 6.5501], [3.1005, 3.1144, 0.0000]],
  "species": ["Mg", "Mg", "Mg", "Ge", "Pd", "Pd", "Pd", "Pd"],
  "fractional_positions": [[0.0000, 0.0000, 0.0000], [0.2501, 0.2501, 0.7499], [0.7499, 0.7499, 0.2501], [0.5000, 0.5000, 0.5000], [0.1196, 0.1196, 0.3804], [0.3804, 0.3804, 0.1196], [0.6196, 0.6196, 0.8804], [0.8804, 0.8804, 0.6196]],
  "magmom_total_mub_per_cell": 0.000,
  "n_ef_per_ev_fu": 2.9
}

---

Entry two
{
  "formula": "Mg3GePd4",
  "functional": "PBE",
  "state": "optimized geometry",
  "lattice": [[-2.7930, 4.6206, 2.6690], [2.7930, -4.6206, 2.6690], [2.7930, 4.6206, -2.6690]],
  "species": ["Mg", "Mg", "Mg", "Ge", "Pd", "Pd", "Pd", "Pd"],
  "fractional_positions": [[0.0000, 0.0000, 0.0000], [0.5393, 0.2520, 0.2872], [0.9648, 0.2520, 0.7128], [0.1293, 0.6293, 0.5000], [0.5019, 0.2636, 0.7617], [0.5019, 0.7403, 0.2383], [0.5025, 0.7454, 0.7571], [0.9883, 0.7454, 0.2429]],
  "magmom_total_mub_per_cell": 0.000,
  "n_ef_per_ev_fu": 3.5
}

---

Energies relative to the most stable structure are entry one 0.000; entry two 0.187, reported in eV/atom.

---

Entry one
{
  "formula": "MgGePd4",
  "functional": "PBE",
  "state": "optimized geometry",
  "lattice": [[5.0583, 0.0000, 0.0000], [0.0000, 7.9471, 0.0000], [-1.6274, 0.0000, 4.6814]],
  "species": ["Mg", "Mg", "Ge", "Ge", "Pd", "Pd", "Pd", "Pd", "Pd", "Pd", "Pd", "Pd"],
  "fractional_positions": [[0.0000, 0.0000, 0.0000], [0.0000, 0.5000, 0.5000], [0.5000, 0.0000, 0.5000], [0.5000, 0.5000, 0.0000], [0.0955, 0.1593, 0.5657], [0.0955, 0.3407, 0.0657], [0.4175, 0.6656, 0.3983], [0.4175, 0.8344, 0.8983], [0.5825, 0.1656, 0.1017], [0.5825, 0.3344, 0.6017], [0.9045, 0.6593, 0.9343], [0.9045, 0.8407, 0.4343]],
  "magmom_total_mub_per_cell": 0.000,
  "n_ef_per_ev_fu": 2.6
}

---

Entry two
{
  "formula": "MgGePd4",
  "functional": "PBE",
  "state": "optimized geometry",
  "lattice": [[7.2361, 0.0000, 0.0000], [0.0000, 2.9629, 0.0000], [0.0000, 0.0000, 17.3738]],
  "species": ["Mg", "Mg", "Mg", "Mg", "Ge", "Ge", "Ge", "Ge", "Pd", "Pd", "Pd", "Pd", "Pd", "Pd", "Pd", "Pd", "Pd", "Pd", "Pd", "Pd", "Pd", "Pd", "Pd", "Pd"],
  "fractional_positions": [[0.2069, 0.2500, 0.1877], [0.2931, 0.7500, 0.6877], [0.7069, 0.2500, 0.3123], [0.7931, 0.7500, 0.8123], [0.2474, 0.7500, 0.4514], [0.2526, 0.2500, 0.9514], [0.7474, 0.7500, 0.0486], [0.7526, 0.2500, 0.5486], [0.0133, 0.7500, 0.2887], [0.0394, 0.7500, 0.5711], [0.1050, 0.7500, 0.0593], [0.1623, 0.7500, 0.8391], [0.3377, 0.2500, 0.3391], [0.3950, 0.2500, 0.5593], [0.4606, 0.2500, 0.0711], [0.4867, 0.2500, 0.7887], [0.5133, 0.7500, 0.2113], [0.5394, 0.7500, 0.9289], [0.6050, 0.7500, 0.4407], [0.6623, 0.7500, 0.6609], [0.8377, 0.2500, 0.1609], [0.8950, 0.2500, 0.9407], [0.9606, 0.2500, 0.4289], [0.9867, 0.2500, 0.7113]],
  "magmom_total_mub_per_cell": 0.000,
  "n_ef_per_ev_fu": 1.2
}

---

Energies relative to the most stable structure are entry one 0.058; entry two 0.000, reported in eV/atom.

---

Entry one
{
  "formula": "PrMg2Ge",
  "functional": "PBE",
  "state": "optimized geometry",
  "lattice": [[1.6313, 0.9418, 10.9533], [-1.6313, 0.9418, 10.9533], [0.0000, -1.8837, 10.9533]],
  "species": ["Pr", "Mg", "Mg", "Ge"],
  "fractional_positions": [[0.0000, 0.0000, 0.0000], [0.0992, 0.0992, 0.0992], [0.9008, 0.9008, 0.9008], [0.5000, 0.5000, 0.5000]],
  "magmom_total_mub_per_cell": 0.000,
  "n_ef_per_ev_fu": 3.0
}

---

Entry two
{
  "formula": "PrMg2Ge",
  "functional": "PBE",
  "state": "optimized geometry",
  "lattice": [[4.4337, 0.0000, 0.0000], [0.0000, 4.4337, 0.0000], [0.0000, 0.0000, 4.8605]],
  "species": ["Pr", "Mg", "Mg", "Ge"],
  "fractional_positions": [[0.0000, 0.0000, 0.0000], [0.0000, 0.5000, 0.5000], [0.5000, 0.0000, 0.5000], [0.5000, 0.5000, 0.0000]],
  "magmom_total_mub_per_cell": 0.000,
  "n_ef_per_ev_fu": 1.2
}

---

Energies relative to the most stable structure are entry one 0.514; entry two 0.000, reported in eV/atom.

---

Entry one
{
  "formula": "Mg2GePt2",
  "functional": "PBE",
  "state": "optimized geometry",
  "lattice": [[4.8087, -2.6071, 0.0000], [4.8087, 2.6071, 0.0000], [-1.7433, 0.0000, 7.0875]],
  "species": ["Mg", "Mg", "Mg", "Mg", "Ge", "Ge", "Pt", "Pt", "Pt", "Pt"],
  "fractional_positions": [[0.0246, 0.2910, 0.1547], [0.2910, 0.0246, 0.6547], [0.7090, 0.9754, 0.3453], [0.9754, 0.7090, 0.8453], [0.3094, 0.6906, 0.2500], [0.6906, 0.3094, 0.7500], [0.2453, 0.4992, 0.5078], [0.4992, 0.2453, 0.0078], [0.5008, 0.7547, 0.9922], [0.7547, 0.5008, 0.4922]],
  "magmom_total_mub_per_cell": 0.000,
  "n_ef_per_ev_fu": 1.5
}

---

Entry two
{
  "formula": "Mg2GePt2",
  "functional": "PBE",
  "state": "optimized geometry",
  "lattice": [[6.6334, 0.0000, 0.0000], [0.0000, 6.6334, 0.0000], [0.0000, 0.0000, 4.0401]],
  "species": ["Mg", "Mg", "Mg", "Mg", "Ge", "Ge", "Pt", "Pt", "Pt", "Pt"],
  "fractional_positions": [[0.1578, 0.3422, 0.0000], [0.3422, 0.8422, 0.0000], [0.6578, 0.1578, 0.0000], [0.8422, 0.6578, 0.0000], [0.0000, 0.0000, 0.5000], [0.5000, 0.5000, 0.5000], [0.1495, 0.6495, 0.5000], [0.3505, 0.1495, 0.5000], [0.6495, 0.8505, 0.5000], [0.8505, 0.3505, 0.5000]],
  "magmom_total_mub_per_cell": 0.000,
  "n_ef_per_ev_fu": 2.1
}

---

Entry three
{
  "formula": "Mg2GePt2",
  "functional": "PBE",
  "state": "optimized geometry",
  "lattice": [[7.7473, 0.0000, 0.0000], [0.0000, 7.7473, 0.0000], [0.0000, 0.0000, 2.9098]],
  "species": ["Mg", "Mg", "Mg", "Mg", "Ge", "Ge", "Pt", "Pt", "Pt", "Pt"],
  "fractional_positions": [[0.1390, 0.3610, 0.0000], [0.3610, 0.8610, 0.0000], [0.6390, 0.1390, 0.0000], [0.8610, 0.6390, 0.0000], [0.0000, 0.0000, 0.0000], [0.5000, 0.5000, 0.0000], [0.1560, 0.6560, 0.5000], [0.3440, 0.1560, 0.5000], [0.6560, 0.8440, 0.5000], [0.8440, 0.3440, 0.5000]],
  "magmom_total_mub_per_cell": 0.000,
  "n_ef_per_ev_fu": 1.9
}

---

Energies relative to the most stable structure are entry one 0.000; entry two 0.123; entry three 0.273, reported in eV/atom.

---

Entry one
{
  "formula": "PuMgGe2",
  "functional": "PBE",
  "state": "optimized geometry",
  "lattice": [[3.2168, 0.0000, 0.0000], [0.0000, 3.2168, 0.0000], [0.0000, 0.0000, 7.9671]],
  "species": ["Pu", "Mg", "Ge", "Ge"],
  "fractional_positions": [[0.0000, 0.0000, 0.0000], [0.0000, 0.0000, 0.5000], [0.5000, 0.5000, 0.2645], [0.5000, 0.5000, 0.7355]],
  "magmom_total_mub_per_cell": 5.624,
  "n_ef_per_ev_fu": 7.1
}

---

Entry two
{
  "formula": "PuMgGe2",
  "functional": "PBE",
  "state": "optimized geometry",
  "lattice": [[0.0000, 3.4571, 3.4571], [3.4571, 0.0000, 3.4571], [3.4571, 3.4571, 0.0000]],
  "species": ["Pu", "Mg", "Ge", "Ge"],
  "fractional_positions": [[0.0000, 0.0000, 0.0000], [0.5000, 0.5000, 0.5000], [0.2500, 0.2500, 0.2500], [0.7500, 0.7500, 0.7500]],
  "magmom_total_mub_per_cell": 5.400,
  "n_ef_per_ev_fu": 8.4
}

---

Energies relative to the most stable structure are entry one 0.065; entry two 0.000, reported in eV/atom.

---

Entry one
{
  "formula": "PuMgSnGe",
  "functional": "PBE",
  "state": "optimized geometry",
  "lattice": [[0.0000, 3.5892, 3.5892], [3.5892, 0.0000, 3.5892], [3.5892, 3.5892, 0.0000]],
  "species": ["Pu", "Mg", "Sn", "Ge"],
  "fractional_positions": [[0.0000, 0.0000, 0.0000], [0.5000, 0.5000, 0.5000], [0.2500, 0.2500, 0.2500], [0.7500, 0.7500, 0.7500]],
  "magmom_total_mub_per_cell": 5.372,
  "n_ef_per_ev_fu": 10.4
}

---

Entry two
{
  "formula": "PuMgSnGe",
  "functional": "PBE",
  "state": "optimized geometry",
  "lattice": [[4.2730, 0.0000, 0.0000], [0.0000, 4.4565, 0.0000], [0.0000, 0.0000, 4.7387]],
  "species": ["Pu", "Mg", "Sn", "Ge"],
  "fractional_positions": [[0.0000, 0.0000, 0.0000], [0.0000, 0.5000, 0.5000], [0.5000, 0.0000, 0.5000], [0.5000, 0.5000, 0.0000]],
  "magmom_total_mub_per_cell": 5.555,
  "n_ef_per_ev_fu": 10.2
}

---

Energies relative to the most stable structure are entry one 0.110; entry two 0.000, reported in eV/atom.

---

Entry one
{
  "formula": "RbMgGe3",
  "functional": "PBE",
  "state": "optimized geometry",
  "lattice": [[5.2371, 0.0000, 0.0000], [0.0000, 5.2371, 0.0000], [0.0000, 0.0000, 5.2371]],
  "species": ["Rb", "Mg", "Ge", "Ge", "Ge"],
  "fractional_positions": [[0.0000, 0.0000, 0.0000], [0.5000, 0.5000, 0.5000], [0.0000, 0.5000, 0.5000], [0.5000, 0.0000, 0.5000], [0.5000, 0.5000, 0.0000]],
  "magmom_total_mub_per_cell": 0.000,
  "n_ef_per_ev_fu": 2.6
}

---

Entry two
{
  "formula": "RbMgGe3",
  "functional": "PBE",
  "state": "optimized geometry",
  "lattice": [[5.6547, 0.0000, 0.0000], [0.0000, 5.6547, 0.0000], [0.0000, 0.0000, 5.6547]],
  "species": ["Rb", "Mg", "Ge", "Ge", "Ge"],
  "fractional_positions": [[0.0000, 0.0000, 0.0000], [0.5000, 0.5000, 0.5000], [0.0000, 0.0000, 0.5000], [0.0000, 0.5000, 0.0000], [0.5000, 0.0000, 0.0000]],
  "magmom_total_mub_per_cell": 0.000,
  "n_ef_per_ev_fu": 7.4
}

---

Energies relative to the most stable structure are entry one 0.000; entry two 1.178, reported in eV/atom.

---

Entry one
{
  "formula": "MgRe2Ge2",
  "functional": "PBE",
  "state": "optimized geometry",
  "lattice": [[7.3004, 0.0000, 0.0000], [0.0000, 7.3004, 0.0000], [0.0000, 0.0000, 2.9691]],
  "species": ["Mg", "Mg", "Re", "Re", "Re", "Re", "Ge", "Ge", "Ge", "Ge"],
  "fractional_positions": [[0.0000, 0.0000, 0.0000], [0.5000, 0.5000, 0.0000], [0.1467, 0.3533, 0.5000], [0.3533, 0.8533, 0.5000], [0.6467, 0.1467, 0.5000], [0.8533, 0.6467, 0.5000], [0.1474, 0.6474, 0.0000], [0.3526, 0.1474, 0.0000], [0.6474, 0.8526, 0.0000], [0.8526, 0.3526, 0.0000]],
  "magmom_total_mub_per_cell": 0.000,
  "n_ef_per_ev_fu": 3.7
}

---

Entry two
{
  "formula": "MgRe2Ge2",
  "functional": "PBE",
  "state": "optimized geometry",
  "lattice": [[-2.1894, 2.1894, 4.9216], [2.1894, -2.1894, 4.9216], [2.1894, 2.1894, -4.9216]],
  "species": ["Mg", "Re", "Re", "Ge", "Ge"],
  "fractional_positions": [[0.0000, 0.0000, 0.0000], [0.3814, 0.3814, 0.0000], [0.6186, 0.6186, 0.0000], [0.2500, 0.7500, 0.5000], [0.7500, 0.2500, 0.5000]],
  "magmom_total_mub_per_cell": 0.000,
  "n_ef_per_ev_fu": 3.8
}

---

Energies relative to the most stable structure are entry one 0.000; entry two 0.191, reported in eV/atom.

---

Entry one
{
  "formula": "Mg3ReGe",
  "functional": "PBE",
  "state": "optimized geometry",
  "lattice": [[5.0413, 0.0000, 0.0000], [0.0000, 5.0413, 0.0000], [0.0000, 0.0000, 5.0413]],
  "species": ["Mg", "Mg", "Mg", "Re", "Ge"],
  "fractional_positions": [[0.0000, 0.0000, 0.5000], [0.0000, 0.5000, 0.0000], [0.5000, 0.0000, 0.0000], [0.0000, 0.0000, 0.0000], [0.5000, 0.5000, 0.5000]],
  "magmom_total_mub_per_cell": 0.000,
  "n_ef_per_ev_fu": 3.6
}

---

Entry two
{
  "formula": "Mg3ReGe",
  "functional": "PBE",
  "state": "optimized geometry",
  "lattice": [[4.9196, 0.0000, 0.0000], [0.0000, 4.9196, 0.0000], [0.0000, 0.0000, 4.9196]],
  "species": ["Mg", "Mg", "Mg", "Re", "Ge"],
  "fractional_positions": [[0.0000, 0.0000, 0.5000], [0.0000, 0.5000, 0.0000], [0.5000, 0.0000, 0.0000], [0.5000, 0.5000, 0.5000], [0.0000, 0.0000, 0.0000]],
  "magmom_total_mub_per_cell": 3.126,
  "n_ef_per_ev_fu": 1.8
}

---

Energies relative to the most stable structure are entry one 0.000; entry two 0.085, reported in eV/atom.